(1)
Entry from Alexandria: K2Hg6SbPb after structural relaxation (PBE).

Values from the calculation:
Mass density, Mg/m³: 7.570
Magnetization, μB per formula unit: 0.000
E_form (uncorrected), meV per atom: -111
E, eV for the cell shown: -25.9

CIF file:
```
data_K2Hg6SbPb
_chemical_formula_sum 'K4 Hg12 Sb2 Pb2'
_space_group_name_H-M_alt 'P m m n'
_space_group_IT_number 59
_cell_length_a 6.233
_cell_length_b 10.327
_cell_length_c 10.979
_cell_angle_alpha 90.00
_cell_angle_beta 90.00
_cell_angle_gamma 90.00
loop_
_space_group_symop_operation_xyz
'x,y,z'
'-x,-y,-z'
'-x+1/2,-y+1/2,z'
'x+1/2,y+1/2,-z'
'x+1/2,-y,-z'
'-x+1/2,y,z'
'-x,y+1/2,-z'
'x,-y+1/2,z'
loop_
_atom_site_label
_atom_site_fract_x
_atom_site_fract_y
_atom_site_fract_z
_atom_site_occupancy
K1 0.250 0.020 0.230 1
Hg1 0.001 0.750 0.021 1
Hg2 0.003 0.250 0.481 1
Hg3 0.250 0.509 0.608 1
Sb1 0.250 0.750 0.803 1
Pb1 0.250 0.250 0.752 1
```

(2)
Entry from Alexandria: K3Hg2Sb4Pb2 after structural relaxation (PBE).

Values from the calculation:
Mass density, Mg/m³: 5.705
Magnetization, μB per formula unit: 0.000
E_form (uncorrected), meV per atom: -262
E, eV for the cell shown: -30.7

CIF file:
```
data_K3Hg2Sb4Pb2
_chemical_formula_sum 'K3 Hg2 Sb4 Pb2'
_space_group_name_H-M_alt 'P -3 m 1'
_space_group_IT_number 164
_space_group_name_Hall '-P 3 2"'
_cell_length_a 5.0157
_cell_length_b 5.0157
_cell_length_c 18.9694
_cell_angle_alpha 90.00
_cell_angle_beta 90.00
_cell_angle_gamma 120.00
loop_
_atom_site_label
_atom_site_fract_x
_atom_site_fract_y
_atom_site_fract_z
_atom_site_occupancy
K1 0.0000 0.0000 0.0000 1
K2 0.0000 0.0000 0.2657 1
Hg1 0.3333 0.6667 0.1346 1
Sb1 0.3333 0.6667 0.3885 1
Sb2 0.3333 0.6667 0.8653 1
Pb1 0.3333 0.6667 0.5580 1
```

(3)
Entry from Alexandria: KHgPbSe2 after structural relaxation (PBE).

Values from the calculation:
Mass density, Mg/m³: 5.901
Magnetization, μB per formula unit: 0.000
E_form (uncorrected), meV per atom: -439
E, eV for the cell shown: -28.5

CIF file:
```
data_KHgPbSe2
_chemical_formula_sum 'K2 Hg2 Pb2 Se4'
_space_group_name_H-M_alt 'P 1 2/c 1'
_space_group_IT_number 13
_cell_length_a 7.270
_cell_length_b 6.038
_cell_length_c 8.246
_cell_angle_alpha 90.00
_cell_angle_beta 109.88
_cell_angle_gamma 90.00
loop_
_space_group_symop_operation_xyz
'x,y,z'
'-x,-y,-z'
'-x,y,-z+1/2'
'x,-y,z+1/2'
loop_
_atom_site_label
_atom_site_fract_x
_atom_site_fract_y
_atom_site_fract_z
_atom_site_occupancy
K1 0.000 0.181 0.250 1
Hg1 0.500 0.000 0.000 1
Pb1 0.500 0.416 0.750 1
Se1 0.221 0.333 0.983 1
```

What did the first record say?
Entry from Alexandria: K2Hg6SbPb after structural relaxation (PBE).

Values from the calculation:
Mass density, Mg/m³: 7.570
Magnetization, μB per formula unit: 0.000
E_form (uncorrected), meV per atom: -111
E, eV for the cell shown: -25.9

CIF file:
```
data_K2Hg6SbPb
_chemical_formula_sum 'K4 Hg12 Sb2 Pb2'
_space_group_name_H-M_alt 'P m m n'
_space_group_IT_number 59
_cell_length_a 6.233
_cell_length_b 10.327
_cell_length_c 10.979
_cell_angle_alpha 90.00
_cell_angle_beta 90.00
_cell_angle_gamma 90.00
loop_
_space_group_symop_operation_xyz
'x,y,z'
'-x,-y,-z'
'-x+1/2,-y+1/2,z'
'x+1/2,y+1/2,-z'
'x+1/2,-y,-z'
'-x+1/2,y,z'
'-x,y+1/2,-z'
'x,-y+1/2,z'
loop_
_atom_site_label
_atom_site_fract_x
_atom_site_fract_y
_atom_site_fract_z
_atom_site_occupancy
K1 0.250 0.020 0.230 1
Hg1 0.001 0.750 0.021 1
Hg2 0.003 0.250 0.481 1
Hg3 0.250 0.509 0.608 1
Sb1 0.250 0.750 0.803 1
Pb1 0.250 0.250 0.752 1
```